1.
This record from the Alexandria database describes a relaxed structure of KAlReHg2. The functional is GGA-PBE.

Lattice parameters (Å, degrees): 5.859 5.859 6.211 90.00 90.00 90.00
Space group P4/mmm (No. 123)
One atom of each set of equivalent atoms:
1 K 0.000 0.000 0.000 [1 per cell]
2 Al 0.000 0.000 0.500 [1 per cell]
3 Re 0.500 0.500 0.500 [1 per cell]
4 Hg 0.000 0.500 0.000 [2 per cell]

Computed properties:
- spin magnetization (μB per cell) = 3.4
- energy of formation from the pure elements (eV/atom) = 1.964

=====

2.
This record from the Alexandria database describes a relaxed structure of Ca2Pr2SmY6. The functional is GGA-PBE.

Lattice parameters (Å, degrees): 6.220 10.873 12.244 90.00 101.08 90.00
Space group C2/m (No. 12)
One atom of each set of equivalent atoms:
1 Ca 0.000 0.164 0.000 [4 per cell]
2 Pr 0.000 0.333 0.500 [4 per cell]
3 Sm 0.000 0.000 0.500 [2 per cell]
4 Y 0.243 0.000 0.261 [4 per cell]
5 Y 0.244 0.334 0.257 [8 per cell]

Computed properties:
- spin magnetization (μB per cell) = 0.0
- energy of formation from the pure elements (eV/atom) = 0.172

=====

3.
This record from the Alexandria database describes a relaxed structure of B5C7. The functional is GGA-PBE.

Lattice parameters (Å, degrees): 8.530 2.518 8.310 90.00 119.98 90.00
Space group Cm (No. 8)
One atom of each set of equivalent atoms:
1 B 0.000 0.000 0.000 [2 per cell]
2 B 0.015 0.500 0.157 [2 per cell]
3 B 0.218 0.500 0.849 [2 per cell]
4 B 0.350 0.500 0.307 [2 per cell]
5 B 0.388 0.500 0.768 [2 per cell]
6 C 0.041 0.000 0.507 [2 per cell]
7 C 0.049 0.500 0.619 [2 per cell]
8 C 0.186 0.000 0.968 [2 per cell]
9 C 0.188 0.500 0.355 [2 per cell]
10 C 0.201 0.000 0.465 [2 per cell]
11 C 0.329 0.000 0.163 [2 per cell]
12 C 0.384 0.000 0.650 [2 per cell]

Computed properties:
- spin magnetization (μB per cell) = 0.0
- energy of formation from the pure elements (eV/atom) = 0.386
- E above lowest polymorph (meV/atom) = 128

=====

4.
This record from the Alexandria database describes a relaxed structure of CaIrPbO6. The functional is GGA-PBE.

Lattice parameters (Å, degrees): 5.6472 5.6472 9.0715 90.00 90.00 120.00
Space group P-31c (No. 163)
One atom of each set of equivalent atoms:
1 Ca 0.3333 0.6667 0.2500 [2 per cell]
2 Ir 0.3333 0.6667 0.7500 [2 per cell]
3 Pb 0.0000 0.0000 0.0000 [2 per cell]
4 O 0.0496 0.3890 0.6295 [12 per cell]

Computed properties:
- spin magnetization (μB per cell) = 0.0
- E_form (uncorrected) (meV per atom) = -1176

=====

5.
This record from the Alexandria database describes a relaxed structure of Sm5Th3S8. The functional is GGA-PBE.

Lattice parameters (Å, degrees): 8.0004 8.0004 19.8871 90.00 90.00 120.00
Space group R-3m (No. 166, hexagonal axes)
One atom of each set of equivalent atoms:
1 Sm 0.0000 0.0000 0.0000 [3 per cell]
2 Sm 0.0000 0.0000 0.5000 [3 per cell]
3 Sm 0.0000 0.5000 0.0000 [9 per cell]
4 Th 0.0000 0.5000 0.5000 [9 per cell]
5 S 0.0000 0.0000 0.2518 [6 per cell]
6 S 0.0018 0.5009 0.2510 [18 per cell]

Computed properties:
- spin magnetization (μB per cell) = 0.0
- E_form (uncorrected) (meV per atom) = -1950

=====

6.
This record from the Alexandria database describes a relaxed structure of PmSb3Se6. The functional is GGA-PBE.

Lattice parameters (Å, degrees): 12.181 4.057 12.383 90.00 105.86 90.00
Space group P2_1/m (No. 11)
One atom of each set of equivalent atoms:
1 Pm 0.189 0.250 0.034 [2 per cell]
2 Sb 0.037 0.750 0.293 [2 per cell]
3 Sb 0.339 0.250 0.432 [2 per cell]
4 Sb 0.399 0.750 0.849 [2 per cell]
5 Se 0.031 0.750 0.893 [2 per cell]
6 Se 0.122 0.250 0.453 [2 per cell]
7 Se 0.228 0.750 0.228 [2 per cell]
8 Se 0.245 0.250 0.800 [2 per cell]
9 Se 0.386 0.750 0.060 [2 per cell]
10 Se 0.401 0.750 0.583 [2 per cell]

Computed properties:
- spin magnetization (μB per cell) = 0.0
- E_form (uncorrected) (meV per atom) = -676

=====

7.
This record from the Alexandria database describes a relaxed structure of PmTcP2Ru. The functional is GGA-PBE.

Lattice parameters (Å, degrees): 4.136 4.136 9.770 90.00 90.00 90.00
Space group I-4m2 (No. 119)
One atom of each set of equivalent atoms:
1 Pm 0.000 0.000 0.000 [2 per cell]
2 Tc 0.000 0.500 0.250 [2 per cell]
3 P 0.000 0.000 0.366 [4 per cell]
4 Ru 0.000 0.500 0.750 [2 per cell]

Computed properties:
- spin magnetization (μB per cell) = 0.0
- energy of formation from the pure elements (eV/atom) = -0.982

=====

8.
This record from the Alexandria database describes a relaxed structure of AcTcC. The functional is GGA-PBE.

Lattice parameters (Å, degrees): 9.880 4.060 6.381 90.00 90.00 90.00
Space group Pnma (No. 62)
One atom of each set of equivalent atoms:
1 Ac 0.172 0.250 0.086 [4 per cell]
2 Tc 0.046 0.250 0.619 [4 per cell]
3 C 0.056 0.750 0.662 [4 per cell]

Computed properties:
- spin magnetization (μB per cell) = 0.0
- energy of formation from the pure elements (eV/atom) = 0.000
- E above lowest polymorph (meV/atom) = 0